1.
Compound: DySiAsO
Source: OQMD via LeMat-Bulk
Functional: PBE-GGA
Structure: relaxed

Symmetry ... No. 129
Crystal system ... tetragonal
Distance to the lowest polymorph of the same formula ... 0.082 eV/atom

abc: 4.014 4.014 8.935
angles: 90.00 90.00 90.00
Sites, in units of the cell vectors:
As 0.750 0.750 0.316
As 0.250 0.250 0.684
Dy 0.250 0.250 0.117
Dy 0.750 0.750 0.883
O 0.750 0.250 0.000
O 0.250 0.750 0.000
Si 0.750 0.250 0.500
Si 0.250 0.750 0.500



2.
Compound: KTmNiTe3
Source: OQMD via LeMat-Bulk
Functional: PBE-GGA
Structure: relaxed

Symmetry ... No. 62
Energy ... -4.244 eV per atom
Crystal system ... orthorhombic

abc: 11.736 4.466 13.591
angles: 90.00 90.00 90.00
Sites, in units of the cell vectors:
K 0.833 0.500 0.005
K 0.333 0.500 0.495
K 0.667 0.000 0.505
K 0.167 0.000 0.995
Ni 0.730 0.000 0.211
Ni 0.230 0.000 0.289
Ni 0.770 0.500 0.711
Ni 0.270 0.500 0.789
Te 0.614 0.000 0.052
Te 0.947 0.000 0.183
Te 0.226 0.500 0.204
Te 0.726 0.500 0.296
Te 0.447 0.000 0.317
Te 0.114 0.000 0.448
Te 0.886 0.500 0.552
Te 0.553 0.500 0.683
Te 0.274 0.000 0.704
Te 0.774 0.000 0.796
Te 0.053 0.500 0.817
Te 0.386 0.500 0.948
Tm 0.501 0.500 0.170
Tm 0.001 0.500 0.330
Tm 0.999 0.000 0.670
Tm 0.499 0.000 0.830



3.
Compound: Na3Pd2
Source: OQMD via LeMat-Bulk
Functional: PBE-GGA
Structure: relaxed

Symmetry ... No. 127
Energy ... -2.840 eV per atom
Crystal system ... tetragonal

abc: 7.306 7.306 3.931
angles: 90.00 90.00 90.00
Sites, in units of the cell vectors:
Na 0.000 0.000 0.000
Na 0.500 0.500 0.000
Na 0.337 0.163 0.500
Na 0.837 0.337 0.500
Na 0.163 0.663 0.500
Na 0.663 0.837 0.500
Pd 0.630 0.130 0.000
Pd 0.130 0.370 0.000
Pd 0.870 0.630 0.000
Pd 0.370 0.870 0.000



What did the third record say?
Compound: Na3Pd2
Source: OQMD via LeMat-Bulk
Functional: PBE-GGA
Structure: relaxed

Symmetry ... No. 127
Energy ... -2.840 eV per atom
Crystal system ... tetragonal

abc: 7.306 7.306 3.931
angles: 90.00 90.00 90.00
Sites, in units of the cell vectors:
Na 0.000 0.000 0.000
Na 0.500 0.500 0.000
Na 0.337 0.163 0.500
Na 0.837 0.337 0.500
Na 0.163 0.663 0.500
Na 0.663 0.837 0.500
Pd 0.630 0.130 0.000
Pd 0.130 0.370 0.000
Pd 0.870 0.630 0.000
Pd 0.370 0.870 0.000